PBE-GGA K2P, optimized geometry; energy above the lowest structure with this stoichiometry = 0 meV/atom; E_tot = -16.7 eV for the cell shown; SG = C2/m, No. 12; Fermi-level density of states = 3.4 states/eV per cell; energy relative to the elements = -0.25 eV per atom; M_tot = 0.0000 μB/atom
1.0
4.831 -2.787 0.000
4.831 2.787 0.000
-3.211 0.000 7.116
K P
4 2
Direct
0.137 0.137 0.411
0.298 0.298 0.893
0.702 0.702 0.107
0.863 0.863 0.589
0.445 0.445 0.336
0.555 0.555 0.664